Arrangement a

Density functional theory data (PBE-GGA) for a relaxed structure of CaYBi2.

Summary:
space group	I-42d

a = 8.457 Å, b = 8.457 Å, c = 7.028 Å
α = 53.01°, β = 53.01°, γ = 90.00°
Positions (direct):
1 Y 0.750 0.250 0.500
2 Bi 0.629 0.125 0.250
3 Ca 0.500 0.500 0.000
4 Bi 0.121 0.625 0.250
5 Bi 0.875 0.879 0.750
6 Ca 0.250 0.750 0.500
7 Bi 0.375 0.371 0.750
8 Y 0.000 0.000 0.000

---

Arrangement b

Density functional theory data (PBE-GGA) for a relaxed structure of CaYBi2.

Summary:
space group	R3m

a = 4.704 Å, b = 4.704 Å, c = 7.670 Å
α = 72.14°, β = 72.14°, γ = 60.00°
Positions (direct):
1 Y 0.496 0.496 0.512
2 Ca 0.670 0.670 0.991
3 Bi 0.248 0.248 0.256
4 Bi 0.086 0.086 0.741

---

Relative stability in meV per atom, measured from the most stable structure: arrangement a 86; arrangement b 0

---

Arrangement a

Density functional theory data (PBE-GGA) for a relaxed structure of Ca3YBi.

Summary:
space group	Pm-3m

a = 6.010 Å, b = 6.010 Å, c = 6.010 Å
α = 90.00°, β = 90.00°, γ = 90.00°
Positions (direct):
1 Y 0.500 0.500 0.500
2 Bi 0.000 0.000 0.000
3 Ca 0.000 0.500 0.000
4 Ca 0.500 0.000 0.000
5 Ca 0.000 0.000 0.500

---

Arrangement b

Density functional theory data (PBE-GGA) for a relaxed structure of Ca3YBi.

Summary:
space group	Pm-3m

a = 5.998 Å, b = 5.998 Å, c = 5.998 Å
α = 90.00°, β = 90.00°, γ = 90.00°
Site moments in Bohr magnetons follow the coordinates.
Positions (direct):
1 Bi 0.500 0.500 0.500  -0.10
2 Ca 0.000 0.500 0.000  0.23
3 Ca 0.500 0.000 0.000  0.15
4 Ca 0.000 0.000 0.500  0.26
5 Y 0.000 0.000 0.000  1.12

---

Relative stability in meV per atom, measured from the most stable structure: arrangement a 0; arrangement b 701

---

Arrangement a

Density functional theory data (PBE-GGA) for a relaxed structure of Ca2YBi2.

Summary:
space group	P4/mbm

a = 8.525 Å, b = 8.525 Å, c = 4.477 Å
α = 90.00°, β = 90.00°, γ = 90.00°
Site moments in Bohr magnetons follow the coordinates.
Positions (direct):
1 Y 0.000 0.000 0.000  0.26
2 Y 0.500 0.500 0.000  0.26
3 Bi 0.340 0.840 0.000  0.00
4 Ca 0.853 0.353 0.500  0.03
5 Ca 0.647 0.853 0.500  0.03
6 Bi 0.660 0.160 0.000  0.01
7 Ca 0.147 0.647 0.500  0.03
8 Ca 0.353 0.147 0.500  0.03
9 Bi 0.160 0.340 0.000  0.00
10 Bi 0.840 0.660 0.000  0.00

---

Arrangement b

Density functional theory data (PBE-GGA) for a relaxed structure of Ca2YBi2.

Summary:
space group	P4/mbm

a = 9.095 Å, b = 9.095 Å, c = 3.818 Å
α = 90.00°, β = 90.00°, γ = 90.00°
Site moments in Bohr magnetons follow the coordinates.
Positions (direct):
1 Bi 0.825 0.325 0.500  -0.03
2 Y 0.500 0.500 0.000  0.35
3 Y 0.000 0.000 0.000  0.35
4 Ca 0.874 0.626 0.000  0.04
5 Ca 0.374 0.874 0.000  0.04
6 Bi 0.675 0.825 0.500  -0.02
7 Ca 0.626 0.126 0.000  0.04
8 Ca 0.126 0.374 0.000  0.04
9 Bi 0.175 0.675 0.500  -0.03
10 Bi 0.325 0.175 0.500  -0.02

---

Relative stability in meV per atom, measured from the most stable structure: arrangement a 0; arrangement b 280

---

Arrangement a

Density functional theory data (PBE-GGA) for a relaxed structure of CaZnBi3.

Summary:
space group	Pm-3m

a = 5.852 Å, b = 5.852 Å, c = 5.852 Å
α = 90.00°, β = 90.00°, γ = 90.00°
Positions (direct):
1 Bi 0.500 0.000 0.000
2 Zn 0.500 0.500 0.500
3 Bi 0.000 0.500 0.000
4 Ca 0.000 0.000 0.000
5 Bi 0.000 0.000 0.500

---

Arrangement b

Density functional theory data (PBE-GGA) for a relaxed structure of CaZnBi3.

Summary:
space group	Pm-3m

a = 5.474 Å, b = 5.474 Å, c = 5.474 Å
α = 90.00°, β = 90.00°, γ = 90.00°
Positions (direct):
1 Bi 0.000 0.000 0.500
2 Ca 0.500 0.500 0.500
3 Bi 0.000 0.500 0.000
4 Bi 0.500 0.000 0.000
5 Zn 0.000 0.000 0.000

---

Relative stability in meV per atom, measured from the most stable structure: arrangement a 534; arrangement b 0

---

Arrangement a

Density functional theory data (PBE-GGA) for a relaxed structure of CaZrBi2.

Summary:
space group	R-3m

a = 4.311 Å, b = 4.311 Å, c = 7.943 Å
α = 74.28°, β = 74.28°, γ = 59.97°
Positions (direct):
1 Bi 0.257 0.257 0.229
2 Ca 0.500 0.500 0.500
3 Bi 0.743 0.743 0.771
4 Zr 0.000 0.000 0.000

---

Arrangement b

Density functional theory data (PBE-GGA) for a relaxed structure of CaZrBi2.

Summary:
space group	Fm-3m

a = 5.393 Å, b = 5.393 Å, c = 5.393 Å
α = 60.00°, β = 60.00°, γ = 60.00°
Site moments in Bohr magnetons follow the coordinates.
Positions (direct):
1 Bi 0.250 0.250 0.250  -0.05
2 Zr 0.500 0.500 0.500  0.39
3 Bi 0.750 0.750 0.750  -0.05
4 Ca 0.000 0.000 0.000  0.03

---

Arrangement c

Density functional theory data (PBE-GGA) for a relaxed structure of CaZrBi2.

Summary:
space group	R3m

a = 4.310 Å, b = 4.310 Å, c = 8.065 Å
α = 74.50°, β = 74.50°, γ = 60.00°
Positions (direct):
1 Zr 0.668 0.668 0.995
2 Bi 0.075 0.075 0.774
3 Ca 0.498 0.498 0.505
4 Bi 0.258 0.258 0.225

---

Arrangement d

Density functional theory data (PBE-GGA) for a relaxed structure of CaZrBi2.

Summary:
space group	P4/mmm

a = 3.698 Å, b = 3.698 Å, c = 8.160 Å
α = 90.00°, β = 90.00°, γ = 90.00°
Positions (direct):
1 Ca 0.500 0.500 0.500
2 Zr 0.500 0.500 0.000
3 Bi 0.000 0.000 0.225
4 Bi 0.000 0.000 0.775

---

Relative stability in meV per atom, measured from the most stable structure: arrangement a 0; arrangement b 227; arrangement c 39; arrangement d 105

---

Arrangement a

Density functional theory data (PBE-GGA) for a relaxed structure of Ca2ZrBi2.

Summary:
space group	P4/mbm

a = 8.081 Å, b = 8.081 Å, c = 4.593 Å
α = 90.00°, β = 90.00°, γ = 90.00°
Positions (direct):
1 Ca 0.657 0.843 0.500
2 Bi 0.845 0.655 0.000
3 Bi 0.345 0.845 0.000
4 Bi 0.155 0.345 0.000
5 Ca 0.157 0.657 0.500
6 Bi 0.655 0.155 0.000
7 Zr 0.000 0.000 0.000
8 Ca 0.343 0.157 0.500
9 Zr 0.500 0.500 0.000
10 Ca 0.843 0.343 0.500

---

Arrangement b

Density functional theory data (PBE-GGA) for a relaxed structure of Ca2ZrBi2.

Summary:
space group	P4/mbm

a = 8.869 Å, b = 8.869 Å, c = 3.793 Å
α = 90.00°, β = 90.00°, γ = 90.00°
Site moments in Bohr magnetons follow the coordinates.
Positions (direct):
1 Bi 0.177 0.677 0.500  -0.04
2 Zr 0.000 0.000 0.000  1.01
3 Ca 0.373 0.873 0.000  0.05
4 Ca 0.873 0.627 0.000  0.05
5 Bi 0.677 0.823 0.500  -0.03
6 Ca 0.627 0.127 0.000  0.05
7 Zr 0.500 0.500 0.000  1.01
8 Ca 0.127 0.373 0.000  0.05
9 Bi 0.323 0.177 0.500  -0.03
10 Bi 0.823 0.323 0.500  -0.04

---

Arrangement c

Density functional theory data (PBE-GGA) for a relaxed structure of Ca2ZrBi2.

Summary:
space group	I4/mmm

a = 4.538 Å, b = 4.538 Å, c = 9.062 Å
α = 75.50°, β = 75.50°, γ = 90.00°
Site moments in Bohr magnetons follow the coordinates.
Positions (direct):
1 Bi 0.750 0.250 0.500  -0.02
2 Zr 0.000 0.000 0.000  1.47
3 Ca 0.603 0.603 0.793  0.11
4 Ca 0.397 0.397 0.207  0.11
5 Bi 0.250 0.750 0.500  -0.02

---

Relative stability in meV per atom, measured from the most stable structure: arrangement a 0; arrangement b 365; arrangement c 781

---

Arrangement a

Density functional theory data (PBE-GGA) for a relaxed structure of Cd4Bi.

Summary:
space group	Pmna

a = 5.223 Å, b = 5.861 Å, c = 8.654 Å
α = 90.00°, β = 90.00°, γ = 90.00°
Positions (direct):
1 Cd 0.250 0.250 0.301
2 Cd 0.742 0.000 0.356
3 Cd 0.258 0.000 0.644
4 Cd 0.750 0.750 0.699
5 Cd 0.242 0.500 0.644
6 Bi 0.500 0.500 0.000
7 Cd 0.750 0.250 0.699
8 Cd 0.758 0.500 0.356
9 Cd 0.250 0.750 0.301
10 Bi 0.000 0.000 0.000

---

Arrangement b

Density functional theory data (PBE-GGA) for a relaxed structure of Cd4Bi.

Summary:
space group	Pm-3m

a = 6.055 Å, b = 6.055 Å, c = 6.055 Å
α = 90.00°, β = 90.00°, γ = 90.00°
Positions (direct):
1 Cd 0.000 0.500 0.500
2 Bi 0.500 0.500 0.500
3 Cd 0.500 0.500 0.000
4 Cd 0.000 0.000 0.000
5 Cd 0.500 0.000 0.500

---

Relative stability in meV per atom, measured from the most stable structure: arrangement a 0; arrangement b 264

---

Arrangement a

Density functional theory data (PBE-GGA) for a relaxed structure of CdBi3.

Summary:
space group	Fm-3m

a = 5.539 Å, b = 5.539 Å, c = 5.539 Å
α = 60.00°, β = 60.00°, γ = 60.00°
Positions (direct):
1 Bi 0.750 0.750 0.750
2 Bi 0.000 0.000 0.000
3 Cd 0.500 0.500 0.500
4 Bi 0.250 0.250 0.250

---

Arrangement b

Density functional theory data (PBE-GGA) for a relaxed structure of CdBi3.

Summary:
space group	Imm2

a = 3.338 Å, b = 6.302 Å, c = 6.823 Å
α = 117.51°, β = 104.16°, γ = 90.00°
Positions (direct):
1 Bi 0.713 0.030 0.426
2 Bi 0.500 0.492 0.000
3 Cd 0.000 0.041 0.000
4 Bi 0.287 0.604 0.574

---

Relative stability in meV per atom, measured from the most stable structure: arrangement a 11; arrangement b 0

---

Arrangement a

Density functional theory data (PBE-GGA) for a relaxed structure of CdBi3.

Summary:
space group	I4/mmm

a = 6.043 Å, b = 6.043 Å, c = 6.043 Å
α = 131.49°, β = 131.49°, γ = 71.04°
Positions (direct):
1 Bi 0.750 0.250 0.500
2 Cd 0.000 0.000 0.000
3 Bi 0.500 0.500 0.000
4 Bi 0.250 0.750 0.500

---

Arrangement b

Density functional theory data (PBE-GGA) for a relaxed structure of CdBi3.

Summary:
space group	Pmm2

a = 4.290 Å, b = 4.883 Å, c = 6.345 Å
α = 90.00°, β = 90.00°, γ = 90.00°
Positions (direct):
1 Cd 0.000 0.839 0.000
2 Bi 0.500 0.361 0.500
3 Bi 0.000 0.806 0.500
4 Bi 0.500 0.328 0.000

---

Relative stability in meV per atom, measured from the most stable structure: arrangement a 15; arrangement b 0

---

Arrangement a

Density functional theory data (PBE-GGA) for a relaxed structure of Cd7Bi.

Summary:
space group	Fm-3m

a = 6.472 Å, b = 6.472 Å, c = 6.472 Å
α = 60.00°, β = 60.00°, γ = 60.00°
Positions (direct):
1 Bi 0.000 0.000 0.000
2 Cd 0.000 0.500 0.500
3 Cd 0.500 0.500 0.500
4 Cd 0.500 0.500 0.000
5 Cd 0.000 0.000 0.500
6 Cd 0.500 0.000 0.000
7 Cd 0.000 0.500 0.000
8 Cd 0.500 0.000 0.500

---

Arrangement b

Density functional theory data (PBE-GGA) for a relaxed structure of Cd7Bi.

Summary:
space group	C2/m

a = 3.488 Å, b = 8.412 Å, c = 8.412 Å
α = 65.83°, β = 65.25°, γ = 65.25°
Positions (direct):
1 Cd 0.753 0.137 0.609
2 Bi 0.000 0.000 0.000
3 Cd 0.508 0.745 0.745
4 Cd 0.492 0.255 0.255
5 Cd 0.247 0.391 0.863
6 Cd 0.000 0.500 0.500
7 Cd 0.753 0.609 0.137
8 Cd 0.247 0.863 0.391

---

Relative stability in meV per atom, measured from the most stable structure: arrangement a 49; arrangement b 0

---

Arrangement a

Density functional theory data (PBE-GGA) for a relaxed structure of Ce2CdBi.

Summary:
space group	P4/mmm

a = 4.490 Å, b = 5.070 Å, c = 5.070 Å
α = 90.00°, β = 90.00°, γ = 90.00°
Site moments in Bohr magnetons follow the coordinates.
Positions (direct):
1 Cd 0.500 0.000 0.000  0.01
2 Ce 0.000 0.500 0.000  1.06
3 Ce 0.000 0.000 0.500  1.06
4 Bi 0.500 0.500 0.500  -0.05

---

Arrangement b

Density functional theory data (PBE-GGA) for a relaxed structure of Ce2CdBi.

Summary:
space group	R-3m

a = 4.427 Å, b = 4.427 Å, c = 8.382 Å
α = 74.69°, β = 74.69°, γ = 60.00°
Site moments in Bohr magnetons follow the coordinates.
Positions (direct):
1 Cd 0.000 0.000 0.000  0.04
2 Ce 0.753 0.753 0.742  0.93
3 Bi 0.500 0.500 0.500  -0.04
4 Ce 0.247 0.247 0.258  0.93

---

Relative stability in meV per atom, measured from the most stable structure: arrangement a 0; arrangement b 163

---

Arrangement a

Density functional theory data (PBE-GGA) for a relaxed structure of Ce2CdBi.

Summary:
space group	P4/mmm

a = 4.147 Å, b = 4.147 Å, c = 6.785 Å
α = 90.00°, β = 90.00°, γ = 90.00°
Site moments in Bohr magnetons follow the coordinates.
Positions (direct):
1 Ce 0.000 0.000 0.748  1.07
2 Cd 0.500 0.500 0.500  0.01
3 Ce 0.000 0.000 0.252  1.07
4 Bi 0.500 0.500 0.000  -0.05

---

Arrangement b

Density functional theory data (PBE-GGA) for a relaxed structure of Ce2CdBi.

Summary:
space group	Fm-3m

a = 5.498 Å, b = 5.498 Å, c = 5.498 Å
α = 60.00°, β = 60.00°, γ = 60.00°
Site moments in Bohr magnetons follow the coordinates.
Positions (direct):
1 Cd 0.500 0.500 0.500  0.03
2 Ce 0.250 0.250 0.250  1.05
3 Ce 0.750 0.750 0.750  1.05
4 Bi 0.000 0.000 0.000  -0.01

---

Relative stability in meV per atom, measured from the most stable structure: arrangement a 0; arrangement b 54